Density functional theory data (PBE-GGA) for CrFe after structural relaxation.

Cell: 3.521 3.521 4.694 Å, 90.00 90.00 120.00°
Sites, in units of the cell vectors:
Cr 0.333 0.667 0.250
Cr 0.667 0.333 0.750
Fe 0.000 0.000 0.000
Fe 0.000 0.000 0.500

Results
The space-group type is No. 194.

Density functional theory data (PBE-GGA) for CrFe2 after structural relaxation.

Cell: 4.024 4.024 2.428 Å, 90.00 90.00 120.00°
Sites, in units of the cell vectors:
Cr 0.000 0.000 0.000
Fe 0.333 0.667 0.668
Fe 0.667 0.333 0.332

Results
The space-group type is No. 164.

Density functional theory data (PBE-GGA) for CrFe after structural relaxation.

Cell: 3.516 3.516 7.138 Å, 90.00 90.00 90.00°
Sites, in units of the cell vectors:
Cr 0.000 0.250 0.375
Cr 0.000 0.750 0.625
Cr 0.500 0.250 0.125
Cr 0.500 0.750 0.875
Fe 0.000 0.250 0.875
Fe 0.000 0.750 0.125
Fe 0.500 0.250 0.625
Fe 0.500 0.750 0.375

Results
The space-group type is No. 141.

Density functional theory data (PBE-GGA) for CrFe2 after structural relaxation.

Cell: 5.438 5.438 5.438 Å, 90.00 90.00 90.00°
Sites, in units of the cell vectors:
Cr 0.000 0.000 0.000
Cr 0.000 0.500 0.500
Cr 0.500 0.000 0.500
Cr 0.500 0.500 0.000
Fe 0.126 0.626 0.874
Fe 0.126 0.874 0.374
Fe 0.374 0.126 0.874
Fe 0.374 0.374 0.374
Fe 0.626 0.626 0.626
Fe 0.626 0.874 0.126
Fe 0.874 0.126 0.626
Fe 0.874 0.374 0.126

Results
The space-group type is No. 205.

Number 1: ΔE_f 0.69 eV per atom. Number 2: ΔE_f 0.04 eV per atom. Number 3: ΔE_f 0.16 eV per atom. Number 4: ΔE_f 0.93 eV per atom.